A plane-wave DFT calculation with meta-GGA SCAN was carried out for a crystal of B3PdSe relaxed with PBEsol.

## Properties
Raw formation energy   2.029 eV/atom

abc: 4.0245 4.0245 4.0245
angles: 90.00 90.00 90.00
Positions (direct):
1 B 0.0000 0.5000 0.0000
2 Pd 0.5000 0.5000 0.5000
3 B 0.0000 0.0000 0.5000
4 Se 0.0000 0.0000 0.0000
5 B 0.5000 0.0000 0.0000